1.
Density functional theory data (PBE) for crystalline Rb2PuZrO6 at its relaxed geometry.

Unit cell a=6.0069 b=6.0069 c=6.0069 alpha=60.00 beta=60.00 gamma=60.00
Atoms (fractional coordinates):
Rb  0.2500  0.2500  0.2500
Rb  0.7500  0.7500  0.7500
Pu  0.0000  0.0000  0.0000
Zr  0.5000  0.5000  0.5000
O  0.2472  0.2472  0.7528
O  0.2472  0.7528  0.2472
O  0.2472  0.7528  0.7528
O  0.7528  0.2472  0.2472
O  0.7528  0.2472  0.7528
O  0.7528  0.7528  0.2472

total energy	-0.2941	hartree per atom
SG	No. 225
M_tot	0.200	μB per atom
theoretical density	6.52	g/cm3


2.
Density functional theory data (PBE) for crystalline Pu2ReO at its relaxed geometry.

Unit cell a=9.1289 b=9.1289 c=9.1289 alpha=18.73 beta=18.73 gamma=18.73
Atoms (fractional coordinates):
Pu  0.1025  0.1025  0.1025
Pu  0.8975  0.8975  0.8975
Re  0.0000  0.0000  0.0000
O  0.5000  0.5000  0.5000

total energy	-0.4395	hartree per atom
SG	No. 166
M_tot	2.305	μB per atom
theoretical density	16.72	g/cm3


3.
Density functional theory data (PBE) for crystalline PuRe2O8 at its relaxed geometry.

Unit cell a=6.4513 b=6.4513 c=5.8510 alpha=101.36 beta=101.36 gamma=61.15
Atoms (fractional coordinates):
Pu  0.0000  0.0000  0.0000
Re  0.1953  0.1953  0.6726
Re  0.8047  0.8047  0.3274
O  0.0759  0.6800  0.1918
O  0.1459  0.1459  0.3583
O  0.3200  0.9241  0.8082
O  0.3548  0.3548  0.7680
O  0.6452  0.6452  0.2320
O  0.6800  0.0759  0.1918
O  0.8541  0.8541  0.6417
O  0.9241  0.3200  0.8082

total energy	-0.3297	hartree per atom
SG	No. 12
M_tot	0.547	μB per atom
theoretical density	5.95	g/cm3


4.
Density functional theory data (PBE) for crystalline SrPuReO6 at its relaxed geometry.

Unit cell a=5.5478 b=5.5478 c=10.5896 alpha=90.00 beta=90.00 gamma=120.00
Atoms (fractional coordinates):
Sr  0.0000  0.0000  0.0000
Sr  0.0000  0.0000  0.5000
Pu  0.3333  0.6667  0.2500
Pu  0.6667  0.3333  0.7500
Re  0.3333  0.6667  0.7500
Re  0.6667  0.3333  0.2500
O  0.0357  0.3840  0.6468
O  0.0357  0.6517  0.8532
O  0.3483  0.3840  0.8532
O  0.3483  0.9643  0.6468
O  0.3840  0.0357  0.1468
O  0.3840  0.3483  0.3532
O  0.6160  0.6517  0.6468
O  0.6160  0.9643  0.8532
O  0.6517  0.0357  0.3532
O  0.6517  0.6160  0.1468
O  0.9643  0.3483  0.1468
O  0.9643  0.6160  0.3532

total energy	-0.3261	hartree per atom
SG	No. 163
M_tot	0.556	μB per atom
theoretical density	7.22	g/cm3


5.
Density functional theory data (PBE) for crystalline SrPu2ReO8 at its relaxed geometry.

Unit cell a=5.0647 b=6.9466 c=5.0704 alpha=90.00 beta=90.70 gamma=90.00
Atoms (fractional coordinates):
Sr  0.0000  0.0000  0.0000
Pu  0.5000  0.2549  0.5000
Pu  0.5000  0.7451  0.5000
Re  0.0000  0.5000  0.0000
O  0.1894  0.3020  0.1885
O  0.1894  0.6980  0.1885
O  0.2772  0.5000  0.7222
O  0.3281  0.0000  0.6699
O  0.6719  0.0000  0.3301
O  0.7228  0.5000  0.2778
O  0.8106  0.3020  0.8115
O  0.8106  0.6980  0.8115

total energy	-0.3442	hartree per atom
SG	No. 10
M_tot	0.750	μB per atom
theoretical density	8.28	g/cm3